This record from Alexandria describes a relaxed K3Cr5N12 crystal. The functional is PBE.

Summary:
VASP energy = -7.35 eV/atom
Energy relative to the elements, uncorrected = 0.217 eV/atom

a = 11.1620 Å, b = 11.1620 Å, c = 11.1620 Å
α = 109.47°, β = 109.47°, γ = 109.47°
Fractional positions:
K (0.7500, 0.3750, 0.1250)
K (0.8750, 0.7500, 0.1250)
K (0.3750, 0.7500, 0.6250)
K (0.2500, 0.1250, 0.3750)
K (0.8750, 0.1250, 0.2500)
K (0.3750, 0.6250, 0.2500)
K (0.6250, 0.3750, 0.7500)
K (0.1250, 0.8750, 0.7500)
K (0.7500, 0.8750, 0.6250)
K (0.6250, 0.2500, 0.3750)
K (0.1250, 0.2500, 0.8750)
K (0.2500, 0.6250, 0.8750)
Cr (0.1250, 0.3750, 0.2500)
Cr (0.0000, 0.5000, 0.0000)
Cr (0.0000, 0.0000, 0.0000)
Cr (0.3750, 0.2500, 0.1250)
Cr (0.5000, 0.0000, 0.5000)
Cr (0.5000, 0.5000, 0.0000)
Cr (0.1250, 0.7500, 0.3750)
Cr (0.7500, 0.1250, 0.8750)
Cr (0.7500, 0.6250, 0.3750)
Cr (0.3750, 0.1250, 0.7500)
Cr (0.6250, 0.8750, 0.2500)
Cr (0.5000, 0.5000, 0.5000)
Cr (0.5000, 0.0000, 0.0000)
Cr (0.0000, 0.0000, 0.5000)
Cr (0.2500, 0.3750, 0.6250)
Cr (0.2500, 0.8750, 0.1250)
Cr (0.0000, 0.5000, 0.5000)
Cr (0.8750, 0.2500, 0.6250)
Cr (0.6250, 0.7500, 0.8750)
Cr (0.8750, 0.6250, 0.7500)
N (0.6654, 0.0950, 0.9763)
N (0.3109, 0.4763, 0.3813)
N (0.0237, 0.4050, 0.3346)
N (0.4763, 0.1654, 0.0950)
N (0.5704, 0.6654, 0.6891)
N (0.0237, 0.6187, 0.1891)
N (0.3109, 0.8346, 0.4296)
N (0.1187, 0.9296, 0.0950)
N (0.6187, 0.0237, 0.6891)
N (0.6654, 0.5704, 0.1891)
N (0.8346, 0.5237, 0.4050)
N (0.8109, 0.8813, 0.9763)
N (0.0950, 0.6654, 0.4763)
N (0.4050, 0.3813, 0.0704)
N (0.0704, 0.8813, 0.4050)
N (0.4296, 0.0950, 0.6187)
N (0.0704, 0.1891, 0.1654)
N (0.5237, 0.6891, 0.1187)
N (0.8109, 0.9296, 0.3346)
N (0.0950, 0.4296, 0.1187)
N (0.4050, 0.0237, 0.8346)
N (0.6187, 0.5950, 0.4296)
N (0.8813, 0.8109, 0.4763)
N (0.8346, 0.3109, 0.9296)
N (0.3813, 0.4050, 0.5704)
N (0.1187, 0.1891, 0.5237)
N (0.1654, 0.6891, 0.0704)
N (0.1891, 0.0704, 0.6654)
N (0.5950, 0.9763, 0.1654)
N (0.9050, 0.5704, 0.8813)
N (0.4763, 0.3109, 0.8813)
N (0.5704, 0.9050, 0.3813)
N (0.9296, 0.8109, 0.8346)
N (0.9296, 0.1187, 0.5950)
N (0.9050, 0.3346, 0.5237)
N (0.1891, 0.1187, 0.0237)
N (0.5950, 0.6187, 0.9296)
N (0.3813, 0.9763, 0.3109)
N (0.3346, 0.4296, 0.8109)
N (0.1654, 0.4763, 0.5950)
N (0.8813, 0.0704, 0.9050)
N (0.6891, 0.1654, 0.5704)
N (0.5237, 0.8346, 0.9050)
N (0.9763, 0.3813, 0.8109)
N (0.4296, 0.3346, 0.3109)
N (0.9763, 0.5950, 0.6654)
N (0.6891, 0.5237, 0.6187)
N (0.3346, 0.9050, 0.0237)

=====

This record from Alexandria describes a relaxed YOs2W2 crystal. The functional is PBE.

Summary:
VASP energy = -10.77 eV/atom
Energy above the lowest structure with this stoichiometry = 256.6 meV per atom

a = 4.3187 Å, b = 4.3187 Å, c = 6.1406 Å
α = 69.41°, β = 69.41°, γ = 90.00°
Fractional positions:
Y (0.0000, 0.0000, 0.0000)
Os (0.7500, 0.2500, 0.5000)
Os (0.2500, 0.7500, 0.5000)
W (0.3753, 0.3753, 0.2494)
W (0.6247, 0.6247, 0.7506)

=====

This record from Alexandria describes a relaxed Mg4Ga2Sb crystal. The functional is PBE.

Summary:
VASP energy = -2.12 eV/atom
Energy relative to the elements, uncorrected = 0.248 eV/atom

a = 5.5918 Å, b = 5.5918 Å, c = 7.6400 Å
α = 68.53°, β = 68.53°, γ = 90.00°
Fractional positions:
Sb (0.0000, 0.0000, 0.0000)
Mg (0.2112, 0.2112, 0.5777)
Mg (0.7888, 0.7888, 0.4223)
Mg (0.0000, 0.5000, 0.0000)
Mg (0.5000, 0.0000, 0.0000)
Ga (0.4072, 0.4072, 0.1855)
Ga (0.5928, 0.5928, 0.8145)